[1]
The following is a PBE calculation of Pa2TlPbO8 after structural relaxation, from Alexandria via LeMat-Bulk.

```
Pa2TlPbO8
1.0
5.197 0.029 -0.003
0.075 5.200 -0.006
0.004 0.008 7.153
Pa Tl Pb O
2 1 1 8
direct
0.500 0.500 0.752
0.500 0.500 0.248
0.000 0.000 0.000
0.000 0.000 0.500
0.204 0.795 0.243
0.676 0.677 0.000
0.796 0.205 0.243
0.796 0.205 0.757
0.324 0.323 0.000
0.204 0.795 0.757
0.675 0.676 0.500
0.325 0.324 0.500
```

Computed properties:
- Electronic total energy: -7.786 eV/atom
- Density of states at the Fermi level: 3.184 states/eV/cell
- Formation energy (no corrections): -28.70 eV per formula unit

[2]
The following is a PBE calculation of PmZn4Ge2 after structural relaxation, from Alexandria via LeMat-Bulk.

```
PmZn4Ge2
1.0
-0.368 -2.944 -2.782
4.042 0.052 -0.590
-1.154 -5.302 5.764
Pm Zn Ge
1 4 2
direct
0.000 0.000 0.000
0.500 0.813 0.626
0.000 0.692 0.384
0.500 0.187 0.374
0.000 0.308 0.616
0.500 0.584 0.167
0.500 0.416 0.833
```

Computed properties:
- ΔH_f (0 K): -0.273 eV/atom
- Electronic total energy: -2.999 eV/atom
- Density of states at the Fermi level: 1.537 states/eV/cell

[3]
The following is a PBE calculation of Ce3DyY2Se6 after structural relaxation, from Alexandria via LeMat-Bulk.

```
Ce3DyY2Se6
1.0
-4.560 4.298 -3.399
-2.445 -4.946 4.515
2.744 4.724 4.785
Ce Dy Y Se
3 1 2 6
direct
0.167 0.833 0.500
0.833 0.167 0.500
0.500 0.500 0.500
0.000 0.000 0.000
0.333 0.667 0.000
0.667 0.333 0.000
0.921 0.588 0.761
0.747 0.747 0.239
0.079 0.412 0.239
0.588 0.921 0.761
0.253 0.253 0.761
0.412 0.079 0.239
```

Computed properties:
- Electronic total energy: -6.490 eV/atom
- Density of states at the Fermi level: 19.129 states/eV/cell
- Formation energy (no corrections): -21.64 eV per formula unit

[4]
The following is a PBE calculation of KNa2HgPd after structural relaxation, from Alexandria via LeMat-Bulk.

```
KNa2HgPd
1.0
-2.943 -4.347 1.634
4.590 -2.431 1.802
-0.691 2.293 4.856
Na K Hg Pd
2 1 1 1
direct
0.000 0.500 0.000
0.500 0.000 0.000
0.500 0.500 0.500
0.000 0.000 0.500
0.000 0.000 0.000
```

Computed properties:
- ΔH_f (0 K): -0.117 eV/atom
- Electronic total energy: -1.963 eV/atom
- Density of states at the Fermi level: 2.222 states/eV/cell

[5]
The following is a PBE calculation of La3CeZr2P6 after structural relaxation, from Alexandria via LeMat-Bulk.

```
La3CeZr2P6
1.0
-0.237 6.817 -1.461
-4.511 -2.748 4.556
5.867 -0.144 3.939
La Ce Zr P
3 1 2 6
direct
0.164 0.836 0.500
0.836 0.164 0.500
0.500 0.500 0.500
0.000 0.000 0.000
0.333 0.667 0.000
0.667 0.333 0.000
0.925 0.582 0.775
0.730 0.730 0.222
0.075 0.418 0.225
0.582 0.925 0.775
0.270 0.270 0.778
0.418 0.075 0.225
```

Computed properties:
- ΔH_f (0 K): -1.475 eV/atom
- Electronic total energy: -7.331 eV/atom
- Density of states at the Fermi level: 6.893 states/eV/cell

[6]
The following is a PBE calculation of ErPRu after structural relaxation, from Alexandria via LeMat-Bulk.

```
ErPRu
1.0
4.002 -0.193 -0.040
0.193 4.002 -0.041
0.069 0.063 6.637
Er P Ru
2 2 2
direct
0.814 0.866 0.588
0.314 0.367 0.251
0.814 0.866 0.123
0.314 0.366 0.716
0.814 0.366 0.920
0.314 0.866 0.920
```

Computed properties:
- ΔH_f (0 K): -1.001 eV/atom
- Electronic total energy: -7.417 eV/atom
- Density of states at the Fermi level: 3.514 states/eV/cell

[7]
The following is a PBE calculation of HoEr3N4 after structural relaxation, from Alexandria via LeMat-Bulk.

```
HoEr3N4
1.0
4.856 0.000 0.000
0.000 4.856 0.000
0.000 0.000 4.856
Ho Er N
1 3 4
direct
0.000 0.000 0.000
0.000 0.500 0.500
0.500 0.000 0.500
0.500 0.500 0.000
0.500 0.000 0.000
0.000 0.500 0.000
0.000 0.000 0.500
0.500 0.500 0.500
```

Computed properties:
- Electronic total energy: -8.220 eV/atom
- Density of states at the Fermi level: 0.363 states/eV/cell
- Formation energy (no corrections): -14.19 eV per formula unit

[8]
The following is a PBE calculation of LaSi3 after structural relaxation, from Alexandria via LeMat-Bulk.

```
LaSi3
1.0
-1.515 -3.053 -1.987
1.821 -0.599 3.449
-5.622 0.771 3.102
La Si
1 3
direct
0.000 0.000 0.000
0.000 0.000 0.500
0.667 0.333 0.316
0.667 0.333 0.684
```

Computed properties:
- Electronic total energy: -5.450 eV/atom
- Density of states at the Fermi level: 1.871 states/eV/cell
- Formation energy (no corrections): -0.60 eV per formula unit

[9]
The following is a PBE calculation of La14SnPb after structural relaxation, from Alexandria via LeMat-Bulk.

```
La14SnPb
1.0
-5.312 4.642 -1.621
-4.916 -4.984 1.841
0.093 3.554 9.868
La Sn Pb
14 1 1
direct
0.875 0.875 0.000
0.375 0.375 0.000
0.875 0.375 0.500
0.875 0.375 0.000
0.375 0.875 0.500
0.375 0.875 0.000
0.623 0.127 0.258
0.623 0.127 0.742
0.127 0.623 0.258
0.127 0.623 0.742
0.623 0.623 0.258
0.623 0.623 0.742
0.127 0.127 0.258
0.127 0.127 0.742
0.375 0.375 0.500
0.875 0.875 0.500
```

Computed properties:
- ΔH_f (0 K): -0.196 eV/atom
- Electronic total energy: -4.989 eV/atom
- Density of states at the Fermi level: 20.735 states/eV/cell

[10]
The following is a PBE calculation of NaIrPb2O6 after structural relaxation, from Alexandria via LeMat-Bulk.

```
NaIrPb2O6
1.0
-2.454 -3.845 3.931
-2.727 -5.101 -1.675
2.293 -5.456 1.111
Na Ir Pb O
1 1 2 6
direct
0.490 0.490 0.490
0.008 0.008 0.008
0.221 0.221 0.221
0.706 0.706 0.706
0.347 0.108 0.809
0.108 0.809 0.347
0.887 0.248 0.677
0.677 0.887 0.248
0.809 0.347 0.108
0.248 0.677 0.887
```

Computed properties:
- Electronic total energy: -5.787 eV/atom
- Density of states at the Fermi level: 5.798 states/eV/cell
- Formation energy (no corrections): -10.52 eV per formula unit

[11]
The following is a PBE calculation of Zr3MnAg after structural relaxation, from Alexandria via LeMat-Bulk.

```
Zr3MnAg
1.0
4.822 0.000 0.000
0.000 4.822 0.000
0.000 0.000 4.822
Mn Zr Ag
1 3 1
direct
0.000 0.000 0.000
0.000 0.500 0.000
0.000 0.000 0.500
0.500 0.000 0.000
0.500 0.500 0.500
```

Computed properties:
- ΔH_f (0 K): 0.379 eV/atom
- Electronic total energy: -7.154 eV/atom
- Density of states at the Fermi level: 7.829 states/eV/cell

[12]
The following is a PBE calculation of InTcS after structural relaxation, from Alexandria via LeMat-Bulk.

```
InTcS
1.0
-2.788 -1.306 0.055
1.999 -4.086 4.321
-1.813 4.047 4.213
Tc In S
2 2 2
direct
0.250 0.997 0.686
0.750 0.003 0.314
0.250 0.302 0.083
0.750 0.698 0.917
0.750 0.257 0.607
0.250 0.743 0.393
```

Computed properties:
- Electronic total energy: -5.987 eV/atom
- Density of states at the Fermi level: 1.784 states/eV/cell
- Formation energy (no corrections): -0.73 eV per formula unit